Record 1
# CoRe2W | Alexandria via LeMat-Bulk | SCAN | PBEsol geometry
data_CoRe2W
_chemical_formula_sum 'Co1 Re2 W1'
_cell_length_a 3.789
_cell_length_b 3.789
_cell_length_c 3.826
_cell_angle_alpha 90.00
_cell_angle_beta 90.00
_cell_angle_gamma 90.00
_symmetry_space_group_name_H-M 'P 4/m m m'
_symmetry_Int_Tables_number 123
_symmetry_space_group_name_Hall '-P 4 2'
loop_
_atom_site_label
_atom_site_type_symbol
_atom_site_fract_x
_atom_site_fract_y
_atom_site_fract_z
Co1 Co 0.000 0.000 0.000
Re1 Re 0.000 0.500 0.500
W1 W 0.500 0.500 0.000
# Energy = -57.1920 eV/atom
# Calculated formation energy = 0.10 eV/atom

Record 2
# NaHfMo3 | Alexandria via LeMat-Bulk | SCAN | PBEsol geometry
data_NaHfMo3
_chemical_formula_sum 'Na1 Hf1 Mo3'
_cell_length_a 4.797
_cell_length_b 4.797
_cell_length_c 4.797
_cell_angle_alpha 90.00
_cell_angle_beta 90.00
_cell_angle_gamma 90.00
_symmetry_space_group_name_H-M 'P m -3 m'
_symmetry_Int_Tables_number 221
_symmetry_space_group_name_Hall '-P 4 2 3'
loop_
_atom_site_label
_atom_site_type_symbol
_atom_site_fract_x
_atom_site_fract_y
_atom_site_fract_z
Na1 Na 0.000 0.000 0.000
Hf1 Hf 0.500 0.500 0.500
Mo1 Mo 0.000 0.500 0.500
# Energy = -32.3216 eV/atom
# Calculated formation energy = 1.99 eV/atom

Record 3
# FeRe2Cl | Alexandria via LeMat-Bulk | SCAN | PBEsol geometry
data_FeRe2Cl
_chemical_formula_sum 'Fe2 Re4 Cl2'
_cell_length_a 2.789
_cell_length_b 4.295
_cell_length_c 8.559
_cell_angle_alpha 90.00
_cell_angle_beta 90.00
_cell_angle_gamma 90.00
_symmetry_space_group_name_H-M 'I m m 2'
_symmetry_Int_Tables_number 44
_symmetry_space_group_name_Hall 'I 2 -2'
loop_
_atom_site_label
_atom_site_type_symbol
_atom_site_fract_x
_atom_site_fract_y
_atom_site_fract_z
Fe1 Fe 0.000 0.000 0.000
Re1 Re 0.000 0.000 0.545
Re2 Re 0.000 0.500 0.771
Cl1 Cl 0.000 0.500 0.285
# Energy = -41.0278 eV/atom

Record 4
# CsMgTa3 | Alexandria via LeMat-Bulk | SCAN | PBEsol geometry
data_CsMgTa3
_chemical_formula_sum 'Cs1 Mg1 Ta3'
_cell_length_a 4.991
_cell_length_b 4.991
_cell_length_c 4.991
_cell_angle_alpha 90.00
_cell_angle_beta 90.00
_cell_angle_gamma 90.00
_symmetry_space_group_name_H-M 'P m -3 m'
_symmetry_Int_Tables_number 221
_symmetry_space_group_name_Hall '-P 4 2 3'
loop_
_atom_site_label
_atom_site_type_symbol
_atom_site_fract_x
_atom_site_fract_y
_atom_site_fract_z
Cs1 Cs 0.000 0.000 0.000
Mg1 Mg 0.500 0.500 0.500
Ta1 Ta 0.000 0.000 0.500
# Energy = -45.4461 eV/atom
# Calculated formation energy = 3.06 eV/atom

Record 5
# Re2NiTe | Alexandria via LeMat-Bulk | SCAN | PBEsol geometry
data_Re2NiTe
_chemical_formula_sum 'Re2 Ni1 Te1'
_cell_length_a 3.857
_cell_length_b 3.857
_cell_length_c 4.010
_cell_angle_alpha 90.00
_cell_angle_beta 90.00
_cell_angle_gamma 90.00
_symmetry_space_group_name_H-M 'P 4/m m m'
_symmetry_Int_Tables_number 123
_symmetry_space_group_name_Hall '-P 4 2'
loop_
_atom_site_label
_atom_site_type_symbol
_atom_site_fract_x
_atom_site_fract_y
_atom_site_fract_z
Re1 Re 0.000 0.500 0.000
Ni1 Ni 0.000 0.000 0.500
Te1 Te 0.500 0.500 0.500
# Energy = -48.1319 eV/atom

Record 6
# Ca2NbSbTe | Alexandria via LeMat-Bulk | SCAN | PBEsol geometry
data_Ca2NbSbTe
_chemical_formula_sum 'Ca2 Nb1 Sb1 Te1'
_cell_length_a 5.645
_cell_length_b 5.645
_cell_length_c 5.127
_cell_angle_alpha 90.00
_cell_angle_beta 90.00
_cell_angle_gamma 90.00
_symmetry_space_group_name_H-M 'P 4/m m m'
_symmetry_Int_Tables_number 123
_symmetry_space_group_name_Hall '-P 4 2'
loop_
_atom_site_label
_atom_site_type_symbol
_atom_site_fract_x
_atom_site_fract_y
_atom_site_fract_z
Ca1 Ca 0.000 0.500 0.000
Nb1 Nb 0.000 0.000 0.000
Sb1 Sb 0.000 0.000 0.500
Te1 Te 0.500 0.500 0.500
# Energy = -25.1183 eV/atom

Record 7
# ZnInMo2 | Alexandria via LeMat-Bulk | SCAN | PBEsol geometry
data_ZnInMo2
_chemical_formula_sum 'Zn1 In1 Mo2'
_cell_length_a 2.794
_cell_length_b 4.417
_cell_length_c 5.295
_cell_angle_alpha 90.00
_cell_angle_beta 97.54
_cell_angle_gamma 90.00
_symmetry_space_group_name_H-M 'P 1 m 1'
_symmetry_Int_Tables_number 6
_symmetry_space_group_name_Hall 'P -2y'
loop_
_atom_site_label
_atom_site_type_symbol
_atom_site_fract_x
_atom_site_fract_y
_atom_site_fract_z
Zn1 Zn 0.000 0.000 0.000
In1 In 0.927 0.500 0.272
Mo1 Mo 0.363 0.500 0.775
Mo2 Mo 0.524 0.000 0.539
# Energy = -28.9795 eV/atom
# Calculated formation energy = 0.19 eV/atom

Record 8
# HgSe2N | Alexandria via LeMat-Bulk | SCAN | PBEsol geometry
data_HgSe2N
_chemical_formula_sum 'Hg3 Se6 N3'
_cell_length_a 3.0351
_cell_length_b 3.0351
_cell_length_c 27.2649
_cell_angle_alpha 90.00
_cell_angle_beta 90.00
_cell_angle_gamma 120.00
_symmetry_space_group_name_H-M 'R -3 m'
_symmetry_Int_Tables_number 166
_symmetry_space_group_name_Hall '-R 3 2"'
loop_
_atom_site_label
_atom_site_type_symbol
_atom_site_fract_x
_atom_site_fract_y
_atom_site_fract_z
Hg1 Hg 0.0000 0.0000 0.0000
Se1 Se 0.0000 0.0000 0.1128
N1 N 0.0000 0.0000 0.5000
# Energy = -28.3461 eV/atom